NaLi2CN2 | PBE-GGA | relaxed

symmetry = Pnnm, No. 58
uncorrected formation energy = -304 meV per atom
total energy = -5.474 eV/atom

The structure in extended XYZ format:
```
12
Lattice="-3.246 1.178 -0.170 -1.367 -4.160 -2.736 -2.030 -4.467 7.805" Properties=species:S:1:pos:R:3 pbc="T T T"
Li -2.330 -5.838 4.032
Li -3.340 -3.324 5.585
Li -1.066 -2.789 1.037
Li -3.303 -4.125 -0.686
C -3.321 -3.724 2.450
C 0.000 0.000 0.000
N -3.090 -3.250 1.322
N -3.084 -7.904 4.105
N -3.553 -4.199 3.577
N -0.313 -0.722 0.964
Na -1.015 -2.234 3.903
Na -2.306 -1.491 -1.453
```